A plane-wave DFT calculation with PBE was carried out for an optimized crystal structure of Pu2HRhAu.

Cell: 5.0686 5.0686 3.5920 Å, 90.00 90.00 90.00°
Space group P4/mmm (No. 123)
One atom of each set of equivalent atoms:
Pu 0.0000 0.5000 0.0000
H 0.0000 0.0000 0.0000
Rh 0.0000 0.0000 0.5000
Au 0.5000 0.5000 0.5000

**Crystal system**: tetragonal
**Volume**: 18.46 Å³/atom
**E_tot**: -44.5 eV per cell
**Density of states at the Fermi level**: 18.4 states/eV per cell